The following is a DFT calculation (PBE) of a relaxed structure of Bi2Pd2Pb.

energy of formation from the pure elements	-0.217	eV/atom
final energy	-0.3372	Ry/atom
density	11.227	Mg/m³

abc: 4.9240 4.8704 10.3367
angles: 90.00 90.41 90.00
Space group P2_1/m (No. 11)
Unique sites:
Bi 0.2492 0.2500 0.0056 x2
Bi 0.2489 0.2500 0.3352 x2
Pd 0.2397 0.7500 0.4903 x2
Pd 0.2482 0.7500 0.8441 x2
Pb 0.2579 0.2500 0.6733 x2

***

The following is a DFT calculation (PBE) of a relaxed structure of BaCuPd3.

energy of formation from the pure elements	1.278	eV/atom
final energy	-0.2235	Ry/atom
density	5.520	Mg/m³

abc: 5.3885 5.3885 5.3885
angles: 90.00 90.00 90.00
Space group Pm-3m (No. 221)
Unique sites:
Ba 0.0000 0.0000 0.0000 x1
Cu 0.5000 0.5000 0.5000 x1
Pd 0.0000 0.0000 0.5000 x3

***

The following is a DFT calculation (PBE) of a relaxed structure of Ac2CoGe3Ir4.

energy of formation from the pure elements	-0.615	eV/atom
final energy	-0.5202	Ry/atom
density	12.829	Mg/m³

abc: 4.3036 4.3036 10.4813
angles: 90.00 90.00 90.00
Space group P-4m2 (No. 115)
Unique sites:
Ac 0.0000 0.5000 0.2437 x2
Co 0.5000 0.5000 0.0000 x1
Ge 0.0000 0.0000 0.0000 x1
Ge 0.0000 0.5000 0.6281 x2
Ir 0.0000 0.0000 0.5000 x1
Ir 0.0000 0.5000 0.8735 x2
Ir 0.5000 0.5000 0.5000 x1